# 1
! PrTe2 PBE-GGA optimized geometry; values from VASP
! DOS at the Fermi energy   0.74 states/eV per cell
! Mass density   6.9 g/cm3
! Crystal system   tetragonal
! Formation energy without anion corrections   -1.276 eV/atom
! Spin magnetization   0.000 Bohr magnetons per cell
! Space-group type   P4/nmm
&SYSTEM
  ibrav = 0, nat = 6, ntyp = 2
/
ATOMIC_SPECIES
Pr 140.91 Pr.upf
Te 127.60 Te.upf
CELL_PARAMETERS angstrom
4.5253 0.0000 0.0000
0.0000 4.5253 0.0000
0.0000 0.0000 9.2514
ATOMIC_POSITIONS crystal
Pr 0.2500 0.2500 0.2281
Pr 0.7500 0.7500 0.7719
Te 0.2500 0.2500 0.8700
Te 0.2500 0.7500 0.5000
Te 0.7500 0.2500 0.5000
Te 0.7500 0.7500 0.1300



# 2
! Pr3Te PBE-GGA optimized geometry; values from VASP
! Energy above the most stable polymorph in this dataset   161 meV per atom
! DOS at the Fermi energy   4.39 states/eV per cell
! Mass density   7.5 g/cm3
! Crystal system   cubic
! Formation energy without anion corrections   -0.554 eV/atom
! Spin magnetization   0.000 Bohr magnetons per cell
! Space-group type   Pm-3m
&SYSTEM
  ibrav = 0, nat = 4, ntyp = 2
/
ATOMIC_SPECIES
Pr 140.91 Pr.upf
Te 127.60 Te.upf
CELL_PARAMETERS angstrom
4.9594 0.0000 0.0000
0.0000 4.9594 0.0000
0.0000 0.0000 4.9594
ATOMIC_POSITIONS crystal
Pr 0.0000 0.0000 0.5000
Pr 0.0000 0.5000 0.0000
Pr 0.5000 0.0000 0.0000
Te 0.5000 0.5000 0.5000